This record from the Alexandria database describes FeRh3S after structural relaxation. The functional is PBE.

abc: 4.4393 4.4393 4.4393
angles: 90.00 90.00 90.00
With the nearest neighbours (Å) after each atom.
Space group Pm-3m (No. 221)
One atom of each set of equivalent atoms:
Fe: 0.0000 0.0000 0.0000  6 Rh 2.22
Rh: 0.0000 0.0000 0.5000  2 Fe 2.22
S: 0.5000 0.5000 0.5000  12 Rh 3.14

Formation energy without anion corrections, eV/atom: 1.275
ρ, g/cm³: 7.5
ΔE to the lowest computed polymorph, eV per atom: 0.910

This record from the Alexandria database describes Tm4Te2AsP after structural relaxation. The functional is PBE.

abc: 7.1073 4.1038 7.3596
angles: 90.00 108.81 90.00
With the nearest neighbours (Å) after each atom.
Space group P2/m (No. 10)
One atom of each set of equivalent atoms:
Tm: 0.2309 0.0000 0.2102  2 P 2.77, 1 As 2.82, 1 Te 3.08
Tm: 0.2556 0.5000 0.7866  1 P 2.76, 2 As 2.82, 2 Te 3.08
Te: 0.0000 0.0000 0.5000  6 Tm 3.08
Te: 0.5000 0.5000 0.5000  6 Tm 3.13-3.14
As: 0.5000 0.0000 0.0000  6 Tm 2.82
P: 0.0000 0.5000 0.0000  6 Tm 2.76-2.77

Formation energy without anion corrections, eV/atom: -1.463
ρ, g/cm³: 8.5

This record from the Alexandria database describes Ga2CuRu after structural relaxation. The functional is PBE.

abc: 2.8674 2.8674 24.4845
angles: 90.00 90.00 120.00
With the nearest neighbours (Å) after each atom.
Space group R-3m (No. 166, hexagonal axes)
One atom of each set of equivalent atoms:
Ga: 0.0000 0.0000 0.2487  3 Ru 2.60, 3 Cu 2.65, 6 Ga 2.87
Cu: 0.0000 0.0000 0.0000  6 Ga 2.65, 6 Cu 2.87
Ru: 0.0000 0.0000 0.5000  6 Ga 2.60, 6 Ru 2.87

DFT formation energy, meV/atom: -69
ρ, g/cm³: 8.7

This record from the Alexandria database describes InSb2HI after structural relaxation. The functional is PBE.

abc: 4.5159 4.5159 6.7463
angles: 90.00 90.00 90.00
With the nearest neighbours (Å) after each atom.
Space group P4/mmm (No. 123)
One atom of each set of equivalent atoms:
In: 0.0000 0.0000 0.0000  4 I 3.19
Sb: 0.0000 0.5000 0.5000  2 H 2.26
H: 0.5000 0.5000 0.5000  4 Sb 2.26
I: 0.5000 0.5000 0.0000  4 In 3.19, 2 H 3.37

ρ, g/cm³: 5.9
ΔE to the lowest computed polymorph, eV per atom: 0.000